(1)
3
Lattice="0.0000 3.8905 3.8905 3.8905 0.0000 3.8905 3.8905 3.8905 0.0000" Properties=species:S:1:pos:R:3 comment="CsTmPb (PBE, relaxed)" volume_a3_per_cell=118 total_magnetization_mub_per_cell=0.00 sg="No. 216" e_tot_ev_per_fu=-8.06 pbc="T T T"
Cs 0.0000 0.0000 0.0000
Tm 1.9453 1.9453 1.9453
Pb 3.8905 3.8905 3.8905


(2)
3
Lattice="0.0000 3.7358 3.7358 3.7358 0.0000 3.7358 3.7358 3.7358 0.0000" Properties=species:S:1:pos:R:3 comment="CsPbW (PBE, relaxed)" polymorph_energy_ev_per_atom=0.000 volume_a3_per_cell=104 total_magnetization_mub_per_cell=2.96 sg="No. 216" e_tot_ev_per_fu=-12.16 pbc="T T T"
Cs 0.0000 0.0000 0.0000
Pb 3.7358 3.7358 3.7358
W 1.8679 1.8679 1.8679


(3)
3
Lattice="0.0000 3.9343 3.9343 3.9343 0.0000 3.9343 3.9343 3.9343 0.0000" Properties=species:S:1:pos:R:3 comment="CsPbW (PBE, relaxed)" polymorph_energy_ev_per_atom=0.687 volume_a3_per_cell=122 total_magnetization_mub_per_cell=3.25 sg="No. 216" e_tot_ev_per_fu=-10.10 pbc="T T T"
Cs 0.0000 0.0000 0.0000
Pb 5.9015 5.9015 5.9015
W 1.9672 1.9672 1.9672


(4)
3
Lattice="0.0000 3.7707 3.7707 3.7707 0.0000 3.7707 3.7707 3.7707 0.0000" Properties=species:S:1:pos:R:3 comment="CsZrPb (PBE, relaxed)" polymorph_energy_ev_per_atom=0.000 volume_a3_per_cell=107 total_magnetization_mub_per_cell=0.96 sg="No. 216" e_tot_ev_per_fu=-10.56 pbc="T T T"
Cs 0.0000 0.0000 0.0000
Zr 1.8853 1.8853 1.8853
Pb 3.7707 3.7707 3.7707


(5)
9
Lattice="6.2249 0.0000 0.0000 -3.1125 5.3909 0.0000 0.0000 0.0000 8.0849" Properties=species:S:1:pos:R:3 comment="CsZr3Pb5 (PBE, relaxed)" volume_a3_per_cell=271 total_magnetization_mub_per_cell=0.01 sg="No. 191" e_tot_ev_per_fu=-45.62 pbc="T T T"
Cs 0.0000 0.0000 0.0000
Zr -1.5562 2.6955 4.0425
Zr 3.1125 0.0000 4.0425
Zr 1.5562 2.6955 4.0425
Pb 0.0000 0.0000 4.0425
Pb 0.0000 3.5940 1.5404
Pb 0.0000 3.5940 6.5446
Pb 3.1125 1.7970 1.5404
Pb 3.1125 1.7970 6.5446


(6)
3
Lattice="0.0000 3.8394 3.8394 3.8394 0.0000 3.8394 3.8394 3.8394 0.0000" Properties=species:S:1:pos:R:3 comment="CsZrPb (PBE, relaxed)" polymorph_energy_ev_per_atom=0.684 volume_a3_per_cell=113 total_magnetization_mub_per_cell=1.02 sg="No. 216" e_tot_ev_per_fu=-8.51 pbc="T T T"
Cs 0.0000 0.0000 0.0000
Zr 1.9197 1.9197 1.9197
Pb 5.7591 5.7591 5.7591


(7)
3
Lattice="0.0000 3.4183 3.4183 3.4183 0.0000 3.4183 3.4183 3.4183 0.0000" Properties=species:S:1:pos:R:3 comment="CsPd2 (PBE, relaxed)" volume_a3_per_cell=80 sg="No. 225" e_tot_ev_per_fu=-8.54 pbc="T T T"
Cs 0.0000 0.0000 0.0000
Pd 1.7091 1.7091 1.7091
Pd 5.1274 5.1274 5.1274


(8)
2
Lattice="0.0000 3.6061 3.6061 3.6061 0.0000 3.6061 3.6061 3.6061 0.0000" Properties=species:S:1:pos:R:3 comment="CsPd (PBE, relaxed)" volume_a3_per_cell=94 sg="No. 216" e_tot_ev_per_fu=-4.68 pbc="T T T"
Cs 0.0000 0.0000 0.0000
Pd 5.4091 5.4091 5.4091


(9)
2
Lattice="0.0000 3.3300 3.3300 3.3300 0.0000 3.3300 3.3300 3.3300 0.0000" Properties=species:S:1:pos:R:3 comment="CsPd (PBE, relaxed)" volume_a3_per_cell=74 sg="No. 225" e_tot_ev_per_fu=-4.90 pbc="T T T"
Cs 0.0000 0.0000 0.0000
Pd 3.3300 3.3300 3.3300


(10)
2
Lattice="3.7036 0.0000 0.0000 -1.8518 3.2074 0.0000 0.0000 0.0000 5.3849" Properties=species:S:1:pos:R:3 comment="CsPd (PBE, relaxed)" volume_a3_per_cell=64 sg="No. 187" e_tot_ev_per_fu=-4.99 pbc="T T T"
Cs 0.0000 0.0000 0.0000
Pd 1.8518 1.0691 2.6924


(11)
12
Lattice="2.2921 -9.3808 0.0000 2.2921 9.3808 0.0000 0.0000 0.0000 10.4215" Properties=species:S:1:pos:R:3 comment="CsPrTe3Pd (PBE, relaxed)" volume_a3_per_cell=448 total_magnetization_mub_per_cell=0.00 sg="No. 63" e_tot_ev_per_fu=-26.19 pbc="T T T"
Cs 2.2921 4.6948 7.8161
Cs 2.2921 -4.6948 2.6054
Pr 0.0000 0.0000 0.0000
Pr 0.0000 0.0000 5.2107
Te 2.2921 7.6398 2.6054
Te 2.2921 2.0246 0.9948
Te 2.2921 2.0246 4.2159
Te 2.2921 -2.0246 6.2056
Te 2.2921 -2.0246 9.4267
Te 2.2921 -7.6398 7.8161
Pd 2.2921 0.1172 7.8161
Pd 2.2921 -0.1172 2.6054


(12)
9
Lattice="0.0000 5.4073 7.0634 3.2893 0.0000 7.0634 3.2893 5.4073 0.0000" Properties=species:S:1:pos:R:3 comment="Cs2PdPt2S4 (PBE, relaxed)" volume_a3_per_cell=251 total_magnetization_mub_per_cell=0.00 sg="No. 69" e_tot_ev_per_fu=-42.35 pbc="T T T"
Cs 3.2893 5.4073 2.2156
Cs 3.2893 5.4073 11.9112
Pd 3.2893 5.4073 7.0634
Pt 1.6447 2.7036 0.0000
Pt 1.6447 2.7036 7.0634
S 3.2893 3.5447 5.5765
S 3.2893 3.5447 8.5504
S 3.2893 7.2699 5.5765
S 3.2893 7.2699 8.5504